This record from Alexandria describes a relaxed structure of CrHg2Pb. The functional is PBE-GGA.

Properties
As for the raw total energy: -3.11 eV/atom.

Unit cell a=4.5052 b=4.5052 c=9.2320 alpha=90.00 beta=90.00 gamma=90.00
With the nearest neighbours (Å) after each atom.
Space group I4/mmm (No. 139)
One atom of each set of equivalent atoms:
Cr (0.0000, 0.0000, 0.0000) (multiplicity 2)  4 Pb 3.19, 8 Hg 3.23
Hg (0.0000, 0.5000, 0.2500) (multiplicity 4)  4 Hg 3.19, 4 Cr 3.23, 4 Pb 3.23
Pb (0.0000, 0.0000, 0.5000) (multiplicity 2)  4 Cr 3.19, 8 Hg 3.23


This record from Alexandria describes a relaxed structure of Tm6ThSc3. The functional is PBE-GGA.

Properties
Its offset from the most stable computed form is 123 meV/atom. As for the raw total energy: -5.11 eV/atom.

Unit cell a=9.5132 b=9.5132 c=11.2077 alpha=90.00 beta=90.00 gamma=120.00
With the nearest neighbours (Å) after each atom.
Space group R32 (No. 155, hexagonal axes)
One atom of each set of equivalent atoms:
Tm (0.0000, 0.3420, 0.0000) (multiplicity 9)  2 Sc 3.23, 1 Th 3.25
Tm (0.0000, 0.6619, 0.5000) (multiplicity 9)  3 Sc 3.22-3.33
Th (0.0000, 0.0000, 0.0000) (multiplicity 3)  2 Sc 2.95, 3 Tm 3.25
Sc (0.0000, 0.0000, 0.2636) (multiplicity 6)  1 Sc 2.65, 1 Th 2.95
Sc (0.0000, 0.0000, 0.5000) (multiplicity 3)  2 Sc 2.65


| no. | calculated formation energy (eV/atom) |
| --- | --- |
| 1 | 0.370 |
| 2 | 0.214 |